Computed, not measured: PuMn2Te4 after structural relaxation at the PBE level of DFT.

abc: 7.945 8.288 8.293
angles: 119.54 105.92 104.52
Positions (direct):
Mn (0.122, 0.590, 0.966)
Te (0.865, 0.643, 0.173)
Te (0.393, 0.082, 0.785)
Pu (0.137, 0.612, 0.492)
Mn (0.622, 0.342, 0.216)
Te (0.846, 0.627, 0.679)
Pu (0.113, 0.105, 0.974)
Te (0.389, 0.064, 0.282)
Mn (0.609, 0.350, 0.732)
Te (0.854, 0.159, 0.681)
Te (0.395, 0.578, 0.808)
Mn (0.640, 0.874, 0.241)
Te (0.406, 0.580, 0.280)
Te (0.857, 0.145, 0.192)

Results
The space group is No. 1. For the formation energy (no corrections), the calculation gives -0.37 eV per atom. The size of the total moment comes out at 8.50 Bohr magnetons per cell.